## Ca2Ac2Sn (GGA-PBE)

Data for crystalline Ca2Ac2Sn at its relaxed geometry.

POSCAR file:
```
Ca2Ac2Sn
1.0
-2.680 -1.673 3.256
-2.598 -1.973 -3.152
8.345 -6.424 0.408
Ac Ca Sn
2 2 1
direct
0.584 0.584 0.167 Ac
0.416 0.416 0.833 Ac
0.750 0.250 0.500 Ca
0.250 0.750 0.500 Ca
0.000 0.000 0.000 Sn
```

## Properties
ΔH_f (0 K): 66 meV per atom
Total DFT energy (no corrections): -3.18 eV per atom
V: 41.3 Å³ per atom
Symmetry: I4/mmm
Spin magnetization: 0.00 μB/f.u.